(1)
The following is a DFT calculation (SCAN) of TcIr3C at its PBEsol-relaxed geometry.

a b c (Å): 4.033 4.033 4.033
angles (deg): 90.00 90.00 90.00
Space group Pm-3m (No. 221)
Asymmetric unit:
Tc 0.000 0.000 0.000
Ir 0.000 0.500 0.500
C 0.500 0.500 0.500

Results
**Crystal system**: cubic
**Volume**: 65.6 Å³/cell
**Total magnetic moment**: 3.016 μB per formula unit
**Energy**: -254.62 eV for the cell shown
**DOS at the Fermi energy**: 4.26 states/eV/cell
**Mass density**: 17.385 g/cm³
**Formation energy**: 3.84 eV per formula unit


(2)
The following is a DFT calculation (SCAN) of Mg2ZrCuOs at its PBEsol-relaxed geometry.

a b c (Å): 5.127 5.127 4.485
angles (deg): 90.00 90.00 90.00
Space group P4/mmm (No. 123)
Asymmetric unit:
Mg 0.000 0.500 0.000
Zr 0.000 0.000 0.000
Cu 0.000 0.000 0.500
Os 0.500 0.500 0.500

Results
**Crystal system**: tetragonal
**Volume**: 117.9 Å³/cell
**Total magnetic moment**: 4.260 μB per formula unit
**Energy**: -116.62 eV for the cell shown
**DOS at the Fermi energy**: 2.76 states/eV/cell
**Mass density**: 5.543 g/cm³
**Formation energy**: 11.10 eV per formula unit


(3)
The following is a DFT calculation (SCAN) of ZrNi2Ag at its PBEsol-relaxed geometry.

a b c (Å): 6.127 6.127 6.127
angles (deg): 90.00 90.00 90.00
Space group Fm-3m (No. 225)
Asymmetric unit:
Zr 0.000 0.000 0.000
Ni 0.250 0.250 0.250
Ag 0.000 0.000 0.500

Results
**Crystal system**: cubic
**Volume**: 230.0 Å³/cell
**Total magnetic moment**: 0.000 μB per formula unit
**Energy**: -380.47 eV for the cell shown
**DOS at the Fermi energy**: 12.75 states/eV/cell
**Mass density**: 9.138 g/cm³
**Formation energy**: -0.71 eV per formula unit


(4)
The following is a DFT calculation (SCAN) of RuCl3 at its PBEsol-relaxed geometry.

a b c (Å): 5.866 10.191 6.106
angles (deg): 90.00 107.31 90.00
Space group C2/m (No. 12)
Asymmetric unit:
Ru 0.000 0.167 0.000
Cl 0.223 0.000 0.228
Cl 0.244 0.327 0.228

Results
**Crystal system**: monoclinic
**Volume**: 348.5 Å³/cell
**Total magnetic moment**: 1.000 μB per formula unit
**Energy**: -245.89 eV for the cell shown
**DOS at the Fermi energy**: 8.42 states/eV/cell
**Mass density**: 3.954 g/cm³
**Raw formation energy**: -0.678 eV/atom


(5)
The following is a DFT calculation (SCAN) of Sr4Pt4PbO11 at its PBEsol-relaxed geometry.

a b c (Å): 5.675 9.938 10.036
angles (deg): 89.59 89.80 89.96
Space group P-1 (No. 2)
Asymmetric unit:
Sr 0.249 0.034 0.106
Sr 0.249 0.384 0.017
Sr 0.250 0.124 0.453
Sr 0.250 0.466 0.373
Pt 0.249 0.124 0.777
Pt 0.249 0.372 0.683
Pt 0.250 0.798 0.394
Pt 0.251 0.707 0.146
Pb 0.284 0.744 0.770
O 0.003 0.332 0.543
O 0.004 0.567 0.191
O 0.009 0.940 0.348
O 0.012 0.172 0.916
O 0.246 0.944 0.867
O 0.251 0.632 0.964
O 0.321 0.253 0.236
O 0.488 0.170 0.915
O 0.494 0.939 0.350
O 0.499 0.333 0.544
O 0.500 0.432 0.810

Results
**Crystal system**: triclinic
**Volume**: 566.1 Å³/cell
**Total magnetic moment**: 0.000 μB per formula unit
**Energy**: -1101.07 eV for the cell shown
**Mass density**: 8.883 g/cm³
**Raw formation energy**: -1.817 eV/atom


(6)
The following is a DFT calculation (SCAN) of BaMgCoF7 at its PBEsol-relaxed geometry.

a b c (Å): 5.435 9.661 9.443
angles (deg): 90.00 93.13 90.00
Space group P2_1/c (No. 14)
Asymmetric unit:
Ba 0.241 0.181 0.498
Mg 0.197 0.602 0.312
Co 0.305 0.618 0.687
F 0.029 0.709 0.751
F 0.123 0.544 0.123
F 0.136 0.041 0.132
F 0.238 0.691 0.506
F 0.380 0.548 0.862
F 0.404 0.053 0.875
F 0.476 0.724 0.246

Results
**Crystal system**: monoclinic
**Volume**: 495.1 Å³/cell
**Total magnetic moment**: 0.095 μB per formula unit
**Energy**: -478.75 eV for the cell shown
**DOS at the Fermi energy**: 0.00 states/eV/cell
**Mass density**: 4.743 g/cm³
**Raw formation energy**: -3.308 eV/atom


(7)
The following is a DFT calculation (SCAN) of H12PbC2I6N2 at its PBEsol-relaxed geometry.

a b c (Å): 7.714 8.032 15.322
angles (deg): 88.51 87.19 77.49
Space group P1 (No. 1)
Asymmetric unit:
H 0.000 0.000 0.000
H 0.008 0.255 0.911
H 0.033 0.224 0.499
H 0.150 0.109 0.036
H 0.225 0.631 0.993
H 0.286 0.790 0.537
H 0.339 0.635 0.084
H 0.374 0.454 0.025
H 0.415 0.919 0.492
H 0.453 0.657 0.411
H 0.465 0.786 0.966
H 0.475 0.811 0.585
H 0.494 0.598 0.901
H 0.507 0.538 0.510
H 0.620 0.597 0.998
H 0.655 0.667 0.463
H 0.667 0.152 0.495
H 0.772 0.174 0.587
H 0.795 0.261 0.966
H 0.835 0.381 0.480
H 0.856 0.009 0.520
H 0.910 0.212 0.404
H 0.946 0.380 0.008
H 0.954 0.115 0.092
Pb 0.466 0.157 0.224
Pb 0.972 0.748 0.726
C 0.492 0.646 0.968
C 0.516 0.656 0.474
C 0.899 0.246 0.473
C 0.935 0.263 0.975
I 0.002 0.709 0.520
I 0.065 0.412 0.200
I 0.108 0.096 0.720
I 0.332 0.810 0.230
I 0.382 0.509 0.723
I 0.390 0.207 0.426
I 0.466 0.143 0.016
I 0.595 0.927 0.718
I 0.691 0.573 0.213
I 0.758 0.350 0.728
I 0.845 0.003 0.241
I 0.942 0.748 0.933
N 0.014 0.113 0.029
N 0.350 0.588 0.021
N 0.419 0.803 0.525
N 0.793 0.139 0.522

Results
**Crystal system**: triclinic
**Volume**: 925.6 Å³/cell
**Total magnetic moment**: 0.000 μB per formula unit
**Energy**: -768.25 eV for the cell shown
**Mass density**: 3.706 g/cm³


(8)
The following is a DFT calculation (SCAN) of LiScPt2 at its PBEsol-relaxed geometry.

a b c (Å): 3.252 3.252 5.716
angles (deg): 90.00 90.00 90.00
Space group P4/mmm (No. 123)
Asymmetric unit:
Li 0.000 0.000 0.000
Sc 0.000 0.000 0.500
Pt 0.500 0.500 0.238

Results
**Crystal system**: tetragonal
**Volume**: 60.5 Å³/cell
**Total magnetic moment**: 0.000 μB per formula unit
**Polymorph energy (0 for the lowest one)**: 0 meV/atom
**Energy**: -161.64 eV for the cell shown
**DOS at the Fermi energy**: 1.23 states/eV/cell
**Mass density**: 12.141 g/cm³
**Formation energy**: -4.62 eV per formula unit


(9)
The following is a DFT calculation (SCAN) of Mg4Zn2Cu at its PBEsol-relaxed geometry.

a b c (Å): 4.4978 4.4978 21.8147
angles (deg): 90.00 90.00 120.00
Space group R-3m (No. 166, hexagonal axes)
Asymmetric unit:
Mg 0.0000 0.0000 0.1229
Mg 0.0000 0.0000 0.3732
Zn 0.0000 0.0000 0.2467
Cu 0.0000 0.0000 0.5000

Results
**Crystal system**: trigonal
**Volume**: 382.2 Å³/cell
**Total magnetic moment**: 0.000 μB per formula unit
**Energy**: -188.25 eV for the cell shown
**DOS at the Fermi energy**: 7.51 states/eV/cell
**Mass density**: 3.801 g/cm³
**Formation energy**: -0.63 eV per formula unit


(10)
The following is a DFT calculation (SCAN) of CaSbTe2Pb at its PBEsol-relaxed geometry.

a b c (Å): 5.809 5.809 5.593
angles (deg): 90.00 90.00 90.00
Space group P4/mmm (No. 123)
Asymmetric unit:
Ca 0.000 0.000 0.000
Sb 0.500 0.500 0.000
Te 0.000 0.500 0.500
Pb 0.500 0.500 0.500

Results
**Crystal system**: tetragonal
**Volume**: 188.7 Å³/cell
**Total magnetic moment**: 0.802 μB per formula unit
**Energy**: -196.86 eV for the cell shown
**DOS at the Fermi energy**: 4.41 states/eV/cell
**Mass density**: 5.492 g/cm³
**Raw formation energy**: 0.069 eV/atom


(11)
The following is a DFT calculation (SCAN) of Rb3BaO at its PBEsol-relaxed geometry.

a b c (Å): 5.984 5.984 5.984
angles (deg): 90.00 90.00 90.00
Space group Pm-3m (No. 221)
Asymmetric unit:
Rb 0.000 0.000 0.500
Ba 0.500 0.500 0.500
O 0.000 0.000 0.000

Results
**Crystal system**: cubic
**Volume**: 214.3 Å³/cell
**Total magnetic moment**: 1.893 μB per formula unit
**Energy**: -109.52 eV for the cell shown
**DOS at the Fermi energy**: 2.47 states/eV/cell
**Mass density**: 3.175 g/cm³
**Raw formation energy**: -0.303 eV/atom


(12)
The following is a DFT calculation (SCAN) of MgCSN2 at its PBEsol-relaxed geometry.

a b c (Å): 3.179 3.179 6.726
angles (deg): 90.00 90.00 90.00
Space group P4/mmm (No. 123)
Asymmetric unit:
Mg 0.000 0.000 0.000
C 0.500 0.500 0.500
S 0.500 0.500 0.000
N 0.000 0.500 0.500

Results
**Crystal system**: tetragonal
**Volume**: 68.0 Å³/cell
**Total magnetic moment**: 0.001 μB per formula unit
**Energy**: -35.78 eV for the cell shown
**DOS at the Fermi energy**: 2.20 states/eV/cell
**Mass density**: 2.354 g/cm³
**Raw formation energy**: 1.501 eV/atom


(13)
The following is a DFT calculation (SCAN) of AlCrF3 at its PBEsol-relaxed geometry.

a b c (Å): 4.105 4.105 4.105
angles (deg): 90.00 90.00 90.00
Space group Pm-3m (No. 221)
Asymmetric unit:
Al 0.000 0.000 0.000
Cr 0.500 0.500 0.500
F 0.000 0.500 0.500

Results
**Crystal system**: cubic
**Volume**: 69.2 Å³/cell
**Total magnetic moment**: 3.987 μB per formula unit
**Energy**: -46.66 eV for the cell shown
**DOS at the Fermi energy**: 1.28 states/eV/cell
**Mass density**: 3.263 g/cm³
**Raw formation energy**: -1.982 eV/atom


(14)
The following is a DFT calculation (SCAN) of BaMnI2N at its PBEsol-relaxed geometry.

a b c (Å): 5.881 5.881 3.708
angles (deg): 90.00 90.00 90.00
Space group P4/mmm (No. 123)
Asymmetric unit:
Ba 0.000 0.000 0.000
Mn 0.500 0.500 0.500
I 0.000 0.500 0.500
N 0.500 0.500 0.000

Results
**Crystal system**: tetragonal
**Volume**: 128.2 Å³/cell
**Total magnetic moment**: 3.471 μB per formula unit
**Energy**: -143.88 eV for the cell shown
**DOS at the Fermi energy**: 1.71 states/eV/cell
**Mass density**: 5.958 g/cm³
**Raw formation energy**: -0.659 eV/atom


(15)
The following is a DFT calculation (SCAN) of CdInSi2 at its PBEsol-relaxed geometry.

a b c (Å): 2.849 5.104 10.653
angles (deg): 90.00 90.00 90.00
Space group Immm (No. 71)
Asymmetric unit:
Cd 0.000 0.000 0.000
In 0.000 0.000 0.500
Si 0.000 0.500 0.252

Results
**Crystal system**: orthorhombic
**Volume**: 154.9 Å³/cell
**Total magnetic moment**: 0.000 μB per formula unit
**Energy**: -162.78 eV for the cell shown
**DOS at the Fermi energy**: 3.54 states/eV/cell
**Mass density**: 6.076 g/cm³
**Raw formation energy**: 0.611 eV/atom


(16)
The following is a DFT calculation (SCAN) of CoHgSb2 at its PBEsol-relaxed geometry.

a b c (Å): 3.090 3.090 8.584
angles (deg): 90.00 90.00 90.00
Space group P4mm (No. 99)
Asymmetric unit:
Co 0.000 0.000 0.000
Hg 0.500 0.500 0.203
Sb 0.000 0.000 0.496
Sb 0.500 0.500 0.834

Results
**Crystal system**: tetragonal
**Volume**: 82.0 Å³/cell
**Total magnetic moment**: 0.820 μB per formula unit
**Energy**: -158.68 eV for the cell shown
**DOS at the Fermi energy**: 2.13 states/eV/cell
**Mass density**: 10.192 g/cm³
**Raw formation energy**: 0.329 eV/atom


(17)
The following is a DFT calculation (SCAN) of Na2Co2O3 at its PBEsol-relaxed geometry.

a b c (Å): 5.568 5.660 6.002
angles (deg): 90.00 116.82 90.00
Space group P2_1/c (No. 14)
Asymmetric unit:
Na 0.148 0.148 0.399
Co 0.346 0.620 0.581
O 0.000 0.000 0.000
O 0.351 0.591 0.250

Results
**Crystal system**: monoclinic
**Volume**: 168.8 Å³/cell
**Total magnetic moment**: 6.003 μB per formula unit
**Energy**: -141.45 eV for the cell shown
**DOS at the Fermi energy**: 0.17 states/eV/cell
**Mass density**: 4.168 g/cm³
**Raw formation energy**: -1.285 eV/atom


(18)
The following is a DFT calculation (SCAN) of ZrHg7 at its PBEsol-relaxed geometry.

a b c (Å): 8.867 8.867 8.867
angles (deg): 90.00 90.00 90.00
Space group Fm-3m (No. 225)
Asymmetric unit:
Zr 0.000 0.000 0.000
Hg 0.000 0.000 0.500
Hg 0.000 0.250 0.250

Results
**Crystal system**: cubic
**Volume**: 697.2 Å³/cell
**Total magnetic moment**: 0.001 μB per formula unit
**Energy**: -2031.81 eV for the cell shown
**DOS at the Fermi energy**: 22.34 states/eV/cell
**Mass density**: 14.247 g/cm³
**Formation energy**: -0.09 eV per formula unit


(19)
The following is a DFT calculation (SCAN) of MnNi2P at its PBEsol-relaxed geometry.

a b c (Å): 3.481 3.481 7.149
angles (deg): 90.00 90.00 90.00
Space group I4/mmm (No. 139)
Asymmetric unit:
Mn 0.000 0.000 0.000
Ni 0.000 0.500 0.250
P 0.000 0.000 0.500

Results
**Crystal system**: tetragonal
**Volume**: 86.6 Å³/cell
**Total magnetic moment**: 4.527 μB per formula unit
**Energy**: -124.71 eV for the cell shown
**DOS at the Fermi energy**: 3.92 states/eV/cell
**Mass density**: 7.794 g/cm³
**Formation energy**: -1.36 eV per formula unit


(20)
The following is a DFT calculation (SCAN) of SrMn2Tl at its PBEsol-relaxed geometry.

a b c (Å): 7.148 7.148 7.148
angles (deg): 90.00 90.00 90.00
Space group F-43m (No. 216)
Asymmetric unit:
Sr 0.000 0.000 0.000
Mn 0.000 0.000 0.500
Mn 0.250 0.250 0.250
Tl 0.250 0.250 0.750

Results
**Crystal system**: cubic
**Volume**: 365.3 Å³/cell
**Total magnetic moment**: 9.082 μB per formula unit
**Polymorph energy (0 for the lowest one)**: 66 meV/atom
**Energy**: -522.54 eV for the cell shown
**DOS at the Fermi energy**: 8.14 states/eV/cell
**Mass density**: 7.308 g/cm³
**Formation energy**: 0.51 eV per formula unit


(21)
The following is a DFT calculation (SCAN) of Sr2Ge2Sb at its PBEsol-relaxed geometry.

a b c (Å): 7.674 7.674 4.595
angles (deg): 90.00 90.00 90.00
Space group P4/mbm (No. 127)
Asymmetric unit:
Sr 0.180 0.320 0.000
Ge 0.116 0.616 0.500
Sb 0.000 0.000 0.500

Results
**Crystal system**: tetragonal
**Volume**: 270.6 Å³/cell
**Total magnetic moment**: 0.000 μB per formula unit
**Energy**: -246.68 eV for the cell shown
**DOS at the Fermi energy**: 2.80 states/eV/cell
**Mass density**: 5.428 g/cm³
**Raw formation energy**: -0.671 eV/atom